Below is an optimized crystal structure of Sr4IrPb, with properties calculated at the GGA-PBE level.

Calculated values
density of states at the Fermi level: 0.71 states/eV/atom
symmetry: C2/c, No. 15
formation energy: -0.3318 eV per atom
ΔE to the lowest computed polymorph: 0.000 eV per atom
total magnetic moment: 0.00 μB/cell
final energy: -3.548 eV/atom

```
Sr4IrPb
1.0
4.8810 -7.3741 0.0000
4.8810 7.3741 0.0000
-2.7913 0.0000 6.0503
Sr Ir Pb
8 2 2
Direct
0.0527 0.7215 0.9330
0.2166 0.3475 0.6703
0.2785 0.9473 0.5670
0.3475 0.2166 0.1703
0.6525 0.7834 0.8297
0.7215 0.0527 0.4330
0.7834 0.6525 0.3297
0.9473 0.2785 0.0670
0.0006 0.9994 0.7500
0.9994 0.0006 0.2500
0.3652 0.6348 0.2500
0.6348 0.3652 0.7500
```

=====

Below is an optimized crystal structure of TiHAu2, with properties calculated at the GGA-PBE level.

Calculated values
density of states at the Fermi level: 0.89 states/eV/atom
symmetry: I-42d, No. 122
ΔE to the lowest computed polymorph: 0.000 eV per atom
total magnetic moment: 0.00 μB/cell
final energy: -4.351 eV/atom

```
TiHAu2
1.0
6.7801 0.0000 0.0000
0.0000 6.7801 0.0000
0.0000 0.0000 5.0008
Ti H Au
4 4 8
Direct
0.0000 0.0000 0.0000
0.0000 0.5000 0.2500
0.5000 0.0000 0.7500
0.5000 0.5000 0.5000
0.0000 0.0000 0.5000
0.0000 0.5000 0.7500
0.5000 0.0000 0.2500
0.5000 0.5000 0.0000
0.1598 0.7500 0.6250
0.2500 0.1598 0.3750
0.2500 0.3402 0.8750
0.3402 0.7500 0.1250
0.6598 0.2500 0.1250
0.7500 0.6598 0.8750
0.7500 0.8402 0.3750
0.8402 0.2500 0.6250
```

=====

Below is an optimized crystal structure of TiBeV2C, with properties calculated at the GGA-PBE level.

Calculated values
density of states at the Fermi level: 0.89 states/eV/atom
symmetry: P4/mmm, No. 123
formation energy: -0.1111 eV per atom
total magnetic moment: 0.00 μB/cell
final energy: -7.928 eV/atom

```
TiBeV2C
1.0
4.0780 0.0000 0.0000
0.0000 4.0780 0.0000
0.0000 0.0000 3.4810
Ti Be V C
1 1 2 1
Direct
0.0000 0.0000 0.0000
0.5000 0.5000 0.0000
0.0000 0.5000 0.5000
0.5000 0.0000 0.5000
0.5000 0.5000 0.5000
```

=====

Below is an optimized crystal structure of LiGdPd, with properties calculated at the GGA-PBE level.

Calculated values
density of states at the Fermi level: 0.65 states/eV/atom
symmetry: I4mm, No. 107
formation energy: -0.4488 eV per atom
ΔE to the lowest computed polymorph: 0.027 eV per atom
total magnetic moment: 14.57 μB/cell
final energy: -7.511 eV/atom

```
LiGdPd
1.0
3.5793 0.0000 0.0000
0.0000 3.5793 0.0000
0.0000 0.0000 9.5096
Li Gd Pd
2 2 2
Direct
0.0000 0.0000 0.0000
0.5000 0.5000 0.5000
0.0000 0.0000 0.2971
0.5000 0.5000 0.7971
0.0000 0.0000 0.6338
0.5000 0.5000 0.1338
```

=====

Below is an optimized crystal structure of RbTiS2, with properties calculated at the GGA-PBE level.

Calculated values
uncorrected formation energy: -1.179 eV/atom
density of states at the Fermi level: 0.30 states/eV/atom
symmetry: P3m1, No. 156
total magnetic moment: 1.00 μB/cell
final energy: -5.458 eV/atom

```
RbTiS2
1.0
3.7027 0.0000 0.0000
-1.8514 3.2067 0.0000
0.0000 0.0000 8.0995
Rb Ti S
1 1 2
Direct
0.0000 0.0000 0.0000
0.6667 0.3333 0.5474
0.0000 0.0000 0.3858
0.3333 0.6667 0.7193
```

=====

Below is an optimized crystal structure of LaPrCuGe, with properties calculated at the GGA-PBE level.

Calculated values
density of states at the Fermi level: 1.01 states/eV/atom
symmetry: F-43m, No. 216
formation energy: -0.4527 eV per atom
total magnetic moment: 0.00 μB/cell
final energy: -5.058 eV/atom

```
LaPrCuGe
1.0
7.3814 0.0000 0.0000
0.0000 7.3814 0.0000
0.0000 0.0000 7.3814
La Pr Cu Ge
4 4 4 4
Direct
0.0000 0.0000 0.0000
0.0000 0.5000 0.5000
0.5000 0.0000 0.5000
0.5000 0.5000 0.0000
0.0000 0.0000 0.5000
0.0000 0.5000 0.0000
0.5000 0.0000 0.0000
0.5000 0.5000 0.5000
0.2500 0.2500 0.2500
0.2500 0.7500 0.7500
0.7500 0.2500 0.7500
0.7500 0.7500 0.2500
0.2500 0.2500 0.7500
0.2500 0.7500 0.2500
0.7500 0.2500 0.2500
0.7500 0.7500 0.7500
```

=====

Below is an optimized crystal structure of Rb3HfSe3, with properties calculated at the GGA-PBE level.

Calculated values
uncorrected formation energy: -1.191 eV/atom
density of states at the Fermi level: 0.51 states/eV/atom
symmetry: P2_1/c, No. 14
ΔE to the lowest computed polymorph: 0.008 eV per atom
total magnetic moment: 0.00 μB/cell
final energy: -4.521 eV/atom

```
Rb3HfSe3
1.0
8.4719 0.0000 0.0000
0.0000 14.0726 0.0000
-6.5848 0.0000 8.8624
Rb Hf Se
12 4 12
Direct
0.1002 0.1383 0.4807
0.1002 0.3617 0.9807
0.1362 0.0706 0.8944
0.1362 0.4294 0.3944
0.3694 0.6852 0.5702
0.3694 0.8148 0.0702
0.6306 0.1852 0.9298
0.6306 0.3148 0.4298
0.8638 0.5706 0.6056
0.8638 0.9294 0.1056
0.8998 0.6383 0.0193
0.8998 0.8617 0.5193
0.4415 0.0547 0.3478
0.4415 0.4453 0.8478
0.5585 0.5547 0.1522
0.5585 0.9453 0.6522
0.1454 0.1649 0.1912
0.1454 0.3351 0.6912
0.3441 0.6157 0.8747
0.3441 0.8843 0.3747
0.3678 0.5425 0.2620
0.3678 0.9575 0.7620
0.6322 0.0425 0.2380
0.6322 0.4575 0.7380
0.6559 0.1157 0.6253
0.6559 0.3843 0.1253
0.8546 0.6649 0.3088
0.8546 0.8351 0.8088
```

=====

Below is an optimized crystal structure of GdThCdCu, with properties calculated at the GGA-PBE level.

Calculated values
density of states at the Fermi level: 0.81 states/eV/atom
symmetry: F-43m, No. 216
formation energy: -0.0911 eV per atom
total magnetic moment: 31.77 μB/cell
final energy: -6.719 eV/atom

```
GdThCdCu
1.0
7.3995 0.0000 0.0000
0.0000 7.3995 0.0000
0.0000 0.0000 7.3995
Gd Th Cd Cu
4 4 4 4
Direct
0.0000 0.0000 0.0000
0.0000 0.5000 0.5000
0.5000 0.0000 0.5000
0.5000 0.5000 0.0000
0.0000 0.0000 0.5000
0.0000 0.5000 0.0000
0.5000 0.0000 0.0000
0.5000 0.5000 0.5000
0.2500 0.2500 0.7500
0.2500 0.7500 0.2500
0.7500 0.2500 0.2500
0.7500 0.7500 0.7500
0.2500 0.2500 0.2500
0.2500 0.7500 0.7500
0.7500 0.2500 0.7500
0.7500 0.7500 0.2500
```